[1]
# YCd2Te, optimized geometry, DFT PBE
# electronic total energy	-3.3807	eV per atom
# N(E_F)	2.08	states/eV/cell
data_YCd2Te
_space_group_name_H-M_alt 'P 4 m m'
_space_group_IT_number 99
_space_group_name_Hall 'P 4 -2'
_cell_length_a 3.987
_cell_length_b 3.987
_cell_length_c 6.664
_cell_angle_alpha 90.00
_cell_angle_beta 90.00
_cell_angle_gamma 90.00
loop_
_atom_site_label
_atom_site_type_symbol
_atom_site_fract_x
_atom_site_fract_y
_atom_site_fract_z
Y1 Y 0.000 0.000 0.000
Cd1 Cd 0.000 0.000 0.490
Cd2 Cd 0.500 0.500 0.292
Te1 Te 0.500 0.500 0.803

[2]
# YCd2Te, optimized geometry, DFT PBE
# electronic total energy	-3.3314	eV per atom
# N(E_F)	3.46	states/eV/cell
data_YCd2Te
_space_group_name_H-M_alt 'C 1 m 1'
_space_group_IT_number 8
_space_group_name_Hall 'C -2y'
_cell_length_a 10.674
_cell_length_b 4.052
_cell_length_c 5.273
_cell_angle_alpha 90.00
_cell_angle_beta 109.40
_cell_angle_gamma 90.00
loop_
_atom_site_label
_atom_site_type_symbol
_atom_site_fract_x
_atom_site_fract_y
_atom_site_fract_z
Y1 Y 0.000 0.000 0.000
Cd1 Cd 0.014 0.500 0.514
Cd2 Cd 0.263 0.500 0.365
Te1 Te 0.270 0.000 0.905

[3]
# Y2CdTe, optimized geometry, DFT PBE
# electronic total energy	-4.9429	eV per atom
# N(E_F)	3.93	states/eV/cell
data_Y2CdTe
_space_group_name_H-M_alt 'P 4/m m m'
_space_group_IT_number 123
_space_group_name_Hall '-P 4 2'
_cell_length_a 3.906
_cell_length_b 3.906
_cell_length_c 7.001
_cell_angle_alpha 90.00
_cell_angle_beta 90.00
_cell_angle_gamma 90.00
loop_
_atom_site_label
_atom_site_type_symbol
_atom_site_fract_x
_atom_site_fract_y
_atom_site_fract_z
Y1 Y 0.000 0.000 0.250
Cd1 Cd 0.500 0.500 0.000
Te1 Te 0.500 0.500 0.500

[4]
# YCdTe2, optimized geometry, DFT PBE
# electronic total energy	-3.5968	eV per atom
# N(E_F)	12.86	states/eV/cell
data_YCdTe2
_space_group_name_H-M_alt 'R -3 m'
_space_group_IT_number 166
_space_group_name_Hall '-R 3 2"'
_cell_length_a 4.2576
_cell_length_b 4.2576
_cell_length_c 27.7371
_cell_angle_alpha 90.00
_cell_angle_beta 90.00
_cell_angle_gamma 120.00
loop_
_atom_site_label
_atom_site_type_symbol
_atom_site_fract_x
_atom_site_fract_y
_atom_site_fract_z
Y1 Y 0.0000 0.0000 0.0000
Cd1 Cd 0.0000 0.0000 0.5000
Te1 Te 0.0000 0.0000 0.1051

[5]
# Y4CdTe3, optimized geometry, DFT PBE
# electronic total energy	-5.5784	eV per atom
# N(E_F)	7.22	states/eV/cell
data_Y4CdTe3
_space_group_name_H-M_alt 'C m m m'
_space_group_IT_number 65
_space_group_name_Hall '-C 2 2'
_cell_length_a 8.987
_cell_length_b 12.362
_cell_length_c 4.242
_cell_angle_alpha 90.00
_cell_angle_beta 90.00
_cell_angle_gamma 90.00
loop_
_atom_site_label
_atom_site_type_symbol
_atom_site_fract_x
_atom_site_fract_y
_atom_site_fract_z
Y1 Y 0.000 0.244 0.000
Y2 Y 0.243 0.000 0.500
Cd1 Cd 0.000 0.000 0.000
Te1 Te 0.000 0.500 0.000
Te2 Te 0.250 0.250 0.500

[6]
# Y2CdTe, optimized geometry, DFT PBE
# electronic total energy	-4.9604	eV per atom
# N(E_F)	5.90	states/eV/cell
data_Y2CdTe
_space_group_name_H-M_alt 'C 1 m 1'
_space_group_IT_number 8
_space_group_name_Hall 'C -2y'
_cell_length_a 11.737
_cell_length_b 4.042
_cell_length_c 4.690
_cell_angle_alpha 90.00
_cell_angle_beta 90.21
_cell_angle_gamma 90.00
loop_
_atom_site_label
_atom_site_type_symbol
_atom_site_fract_x
_atom_site_fract_y
_atom_site_fract_z
Y1 Y 0.000 0.000 0.000
Y2 Y 0.229 0.500 0.500
Cd1 Cd 0.472 0.000 0.500
Te1 Te 0.270 0.000 0.001

[7]
# Y2CdTe, optimized geometry, DFT PBE
# electronic total energy	-4.8365	eV per atom
# N(E_F)	8.32	states/eV/cell
data_Y2CdTe
_space_group_name_H-M_alt 'I -4 m 2'
_space_group_IT_number 119
_space_group_name_Hall 'I -4 -2'
_cell_length_a 4.434
_cell_length_b 4.434
_cell_length_c 11.195
_cell_angle_alpha 90.00
_cell_angle_beta 90.00
_cell_angle_gamma 90.00
loop_
_atom_site_label
_atom_site_type_symbol
_atom_site_fract_x
_atom_site_fract_y
_atom_site_fract_z
Y1 Y 0.000 0.000 0.000
Y2 Y 0.000 0.500 0.250
Cd1 Cd 0.000 0.500 0.750
Te1 Te 0.000 0.000 0.500

[8]
# YCd2Te, optimized geometry, DFT PBE
# electronic total energy	-3.1828	eV per atom
# N(E_F)	3.84	states/eV/cell
data_YCd2Te
_space_group_name_H-M_alt 'C m m m'
_space_group_IT_number 65
_space_group_name_Hall '-C 2 2'
_cell_length_a 5.910
_cell_length_b 5.921
_cell_length_c 6.095
_cell_angle_alpha 90.00
_cell_angle_beta 90.00
_cell_angle_gamma 90.00
loop_
_atom_site_label
_atom_site_type_symbol
_atom_site_fract_x
_atom_site_fract_y
_atom_site_fract_z
Y1 Y 0.000 0.000 0.000
Cd1 Cd 0.000 0.500 0.247
Te1 Te 0.000 0.000 0.500

[9]
# Y2CdTe, optimized geometry, DFT PBE
# electronic total energy	-4.7282	eV per atom
# N(E_F)	17.25	states/eV/cell
data_Y2CdTe
_space_group_name_H-M_alt 'I -4 2 d'
_space_group_IT_number 122
_space_group_name_Hall 'I -4 2bw'
_cell_length_a 8.254
_cell_length_b 8.254
_cell_length_c 6.980
_cell_angle_alpha 90.00
_cell_angle_beta 90.00
_cell_angle_gamma 90.00
loop_
_atom_site_label
_atom_site_type_symbol
_atom_site_fract_x
_atom_site_fract_y
_atom_site_fract_z
Y1 Y 0.246 0.250 0.125
Cd1 Cd 0.000 0.000 0.500
Te1 Te 0.000 0.000 0.000

[10]
# Y5CdTe4, optimized geometry, DFT PBE
# electronic total energy	-5.7022	eV per atom
# N(E_F)	6.85	states/eV/cell
data_Y5CdTe4
_space_group_name_H-M_alt 'I 4/m'
_space_group_IT_number 87
_space_group_name_Hall '-I 4'
_cell_length_a 9.765
_cell_length_b 9.765
_cell_length_c 6.178
_cell_angle_alpha 90.00
_cell_angle_beta 90.00
_cell_angle_gamma 90.00
loop_
_atom_site_label
_atom_site_type_symbol
_atom_site_fract_x
_atom_site_fract_y
_atom_site_fract_z
Y1 Y 0.000 0.000 0.000
Y2 Y 0.099 0.708 0.500
Cd1 Cd 0.000 0.000 0.500
Te1 Te 0.096 0.697 0.000

[11]
# YCdTe2, optimized geometry, DFT PBE
# electronic total energy	-4.2676	eV per atom
# N(E_F)	5.93	states/eV/cell
data_YCdTe2
_space_group_name_H-M_alt 'R -3 m'
_space_group_IT_number 166
_space_group_name_Hall '-R 3 2"'
_cell_length_a 4.3123
_cell_length_b 4.3123
_cell_length_c 23.2771
_cell_angle_alpha 90.00
_cell_angle_beta 90.00
_cell_angle_gamma 120.00
loop_
_atom_site_label
_atom_site_type_symbol
_atom_site_fract_x
_atom_site_fract_y
_atom_site_fract_z
Y1 Y 0.0000 0.0000 0.0000
Cd1 Cd 0.0000 0.0000 0.5000
Te1 Te 0.0000 0.0000 0.2538

[12]
# Y4CdTe, optimized geometry, DFT PBE
# electronic total energy	-5.5241	eV per atom
# N(E_F)	30.15	states/eV/cell
data_Y4CdTe
_space_group_name_H-M_alt 'P n m a'
_space_group_IT_number 62
_space_group_name_Hall '-P 2ac 2n'
_cell_length_a 8.640
_cell_length_b 4.020
_cell_length_c 19.887
_cell_angle_alpha 90.00
_cell_angle_beta 90.00
_cell_angle_gamma 90.00
loop_
_atom_site_label
_atom_site_type_symbol
_atom_site_fract_x
_atom_site_fract_y
_atom_site_fract_z
Y1 Y 0.020 0.250 0.070
Y2 Y 0.045 0.250 0.786
Y3 Y 0.126 0.250 0.337
Y4 Y 0.135 0.250 0.559
Cd1 Cd 0.239 0.750 0.686
Te1 Te 0.242 0.750 0.446

Please write out number 12 again, unchanged.
# Y4CdTe, optimized geometry, DFT PBE
# electronic total energy	-5.5241	eV per atom
# N(E_F)	30.15	states/eV/cell
data_Y4CdTe
_space_group_name_H-M_alt 'P n m a'
_space_group_IT_number 62
_space_group_name_Hall '-P 2ac 2n'
_cell_length_a 8.640
_cell_length_b 4.020
_cell_length_c 19.887
_cell_angle_alpha 90.00
_cell_angle_beta 90.00
_cell_angle_gamma 90.00
loop_
_atom_site_label
_atom_site_type_symbol
_atom_site_fract_x
_atom_site_fract_y
_atom_site_fract_z
Y1 Y 0.020 0.250 0.070
Y2 Y 0.045 0.250 0.786
Y3 Y 0.126 0.250 0.337
Y4 Y 0.135 0.250 0.559
Cd1 Cd 0.239 0.750 0.686
Te1 Te 0.242 0.750 0.446